Record 1
! RbPtOF2 | the Alexandria database | SCAN | single point on PBEsol structure; values from VASP
&SYSTEM
  ibrav = 0, nat = 5, ntyp = 4
/
ATOMIC_SPECIES
O 16.00 O.upf
Rb 85.47 Rb.upf
Pt 195.08 Pt.upf
F 19.00 F.upf
CELL_PARAMETERS angstrom
-0.5954 -3.4873 2.5734
-1.6546 -2.4356 -3.6834
4.3690 -1.4746 -0.9875
ATOMIC_POSITIONS crystal
O 0.5000 0.0000 0.0000
Rb 0.0000 0.0000 0.0000
Pt 0.5000 0.5000 0.5000
F 0.0000 0.0000 0.5000
F 0.0000 0.5000 0.0000
! symmetry = No. 123
! polymorph energy (0 for the lowest one) = 46.38 kcal/mol of atoms
! crystal system = tetragonal



Record 2
! In2GeBF | the Alexandria database | SCAN | single point on PBEsol structure; values from VASP
&SYSTEM
  ibrav = 0, nat = 5, ntyp = 4
/
ATOMIC_SPECIES
Ge 72.64 Ge.upf
F 19.00 F.upf
B 10.81 B.upf
In 114.82 In.upf
CELL_PARAMETERS angstrom
3.5437 0.0000 0.0000
0.0000 4.8813 0.0000
0.0000 0.0000 4.8813
ATOMIC_POSITIONS crystal
Ge 0.5000 0.5000 0.5000
F 0.5000 0.0000 0.0000
B 0.0000 0.0000 0.0000
In 0.0000 0.0000 0.5000
In 0.0000 0.5000 0.0000
! symmetry = No. 123
! crystal system = tetragonal
! total energy = -19.27 eV per atom



Record 3
! PSe | the Alexandria database | SCAN | single point on PBEsol structure; values from VASP
&SYSTEM
  ibrav = 0, nat = 4, ntyp = 2
/
ATOMIC_SPECIES
P 30.97 P.upf
Se 78.96 Se.upf
CELL_PARAMETERS angstrom
3.3095 0.0000 0.0000
0.0000 3.3095 0.0000
0.0000 0.0000 7.4306
ATOMIC_POSITIONS crystal
P 0.5000 0.0000 0.4665
P 0.0000 0.5000 0.5335
Se 0.5000 0.0000 0.1735
Se 0.0000 0.5000 0.8265
! symmetry = No. 129
! polymorph energy (0 for the lowest one) = 5.34 kcal/mol of atoms
! crystal system = tetragonal



Record 4
! MnSbPt | the Alexandria database | SCAN | single point on PBEsol structure; values from VASP
&SYSTEM
  ibrav = 0, nat = 3, ntyp = 3
/
ATOMIC_SPECIES
Mn 54.94 Mn.upf
Pt 195.08 Pt.upf
Sb 121.76 Sb.upf
CELL_PARAMETERS angstrom
-1.1886 -0.4415 -2.6765
-3.8319 -1.3588 1.9258
0.6039 4.3478 -0.9853
ATOMIC_POSITIONS crystal
Mn 0.0004 0.0000 0.0000
Pt 0.5007 0.3333 0.6667
Sb 0.4989 0.6667 0.3333
! symmetry = No. 187
! polymorph energy (0 for the lowest one) = 9.53 kcal/mol of atoms
! crystal system = hexagonal



Record 5
! SbRh2Se | the Alexandria database | SCAN | single point on PBEsol structure; values from VASP
&SYSTEM
  ibrav = 0, nat = 4, ntyp = 3
/
ATOMIC_SPECIES
Rh 102.91 Rh.upf
Sb 121.76 Sb.upf
Se 78.96 Se.upf
CELL_PARAMETERS angstrom
3.5097 0.0766 0.0000
-0.0762 3.5097 0.0000
0.0000 0.0000 5.5183
ATOMIC_POSITIONS crystal
Rh 0.0000 0.0000 0.0493
Rh 0.5000 0.5000 0.7327
Sb 0.0000 0.0000 0.5574
Se 0.5000 0.5000 0.1606
! symmetry = No. 99
! crystal system = tetragonal
! total energy = -31.58 eV per atom



Record 6
! CeSi2Ru3 | the Alexandria database | SCAN | single point on PBEsol structure; values from VASP
&SYSTEM
  ibrav = 0, nat = 6, ntyp = 3
/
ATOMIC_SPECIES
Ru 101.07 Ru.upf
Si 28.09 Si.upf
Ce 140.12 Ce.upf
CELL_PARAMETERS angstrom
3.5736 0.0000 0.0000
0.0000 5.5367 0.0000
0.0000 -2.7683 4.7949
ATOMIC_POSITIONS crystal
Ru 0.5000 0.5000 0.0000
Ru 0.5000 0.0000 0.5000
Ru 0.5000 0.5000 0.5000
Si 0.0000 0.6667 0.3333
Si 0.0000 0.3333 0.6667
Ce 0.0000 0.0000 0.0000
! symmetry = No. 191
! crystal system = hexagonal
! total energy = -28.92 eV per atom



Record 7
! NaMn2HgCl | the Alexandria database | SCAN | single point on PBEsol structure; values from VASP
&SYSTEM
  ibrav = 0, nat = 5, ntyp = 4
/
ATOMIC_SPECIES
Na 22.99 Na.upf
Mn 54.94 Mn.upf
Hg 200.59 Hg.upf
Cl 35.45 Cl.upf
CELL_PARAMETERS angstrom
5.2745 0.0000 0.0000
0.0000 5.3150 0.0000
0.0000 0.0000 5.3150
ATOMIC_POSITIONS crystal
Na 0.0000 0.0000 0.0000
Mn 0.0000 0.0000 0.5000
Mn 0.0000 0.5000 0.0000
Hg 0.5000 0.0000 0.0000
Cl 0.5000 0.5000 0.5000
! symmetry = No. 123
! crystal system = tetragonal
! total energy = -22.72 eV per atom



Record 8
! CrCuOs2 | the Alexandria database | SCAN | single point on PBEsol structure; values from VASP
&SYSTEM
  ibrav = 0, nat = 4, ntyp = 3
/
ATOMIC_SPECIES
Cr 52.00 Cr.upf
Cu 63.55 Cu.upf
Os 190.23 Os.upf
CELL_PARAMETERS angstrom
-0.8609 2.3602 1.5749
0.2416 -1.5788 2.4982
5.4919 1.6582 0.5169
ATOMIC_POSITIONS crystal
Cr 0.5000 0.5000 0.0000
Cu 0.5000 0.5000 0.5000
Os 0.0000 0.0000 0.7501
Os 0.0000 0.0000 0.2499
! symmetry = No. 123
! polymorph energy (0 for the lowest one) = 1.21 kcal/mol of atoms
! crystal system = tetragonal
! ΔE_f = 0.268 eV per atom